Arrangement A

Here is GaAsC after structural relaxation from Alexandria via LeMat-Bulk. Energies are from PBE.

Cell lengths 4.141, 4.929, 6.674 Å; angles 71.23, 86.43, 67.43 degrees
Fractional coordinates of all 6 atoms:
C  0.930  0.965  0.594
C  0.070  0.035  0.406
As  0.383  0.675  0.320
As  0.617  0.325  0.680
Ga  0.999  0.458  0.193
Ga  0.001  0.542  0.807

Output
As for the space group: No. 2.

=====

Arrangement B

Here is GaAsC after structural relaxation from Alexandria via LeMat-Bulk. Energies are from PBE.

Cell lengths 4.154, 5.219, 6.025 Å; angles 88.47, 89.85, 66.59 degrees
Fractional coordinates of all 6 atoms:
C  0.002  0.494  0.389
C  0.998  0.506  0.611
Ga  0.824  0.855  0.783
Ga  0.176  0.145  0.217
As  0.826  0.845  0.207
As  0.174  0.155  0.793

Output
As for the space group: No. 2.

=====

Decreasing stability: arrangement B, arrangement A

=====

Arrangement A

Here is GaAsC after structural relaxation from Alexandria via LeMat-Bulk. Energies are from PBE.

Cell lengths 5.065, 5.129, 5.181 Å; angles 70.83, 72.45, 73.92 degrees
Fractional coordinates of all 6 atoms:
Ga  0.116  0.344  0.188
Ga  0.884  0.656  0.812
C  0.608  0.002  0.885
C  0.392  0.998  0.115
As  0.705  0.360  0.615
As  0.295  0.640  0.385

Output
As for the space group: No. 2.

=====

Arrangement B

Here is GaAsC after structural relaxation from Alexandria via LeMat-Bulk. Energies are from PBE.

Cell lengths 4.139, 9.361, 6.679 Å; angles 90.00, 90.00, 90.00 degrees
Fractional coordinates of all 12 atoms:
Ga  0.000  0.634  0.283
Ga  0.500  0.134  0.783
Ga  0.500  0.866  0.783
Ga  0.000  0.366  0.283
C  0.500  0.066  0.249
C  0.000  0.434  0.749
C  0.500  0.934  0.249
C  0.000  0.566  0.749
As  0.500  0.750  0.135
As  0.000  0.250  0.635
As  0.000  0.751  0.635
As  0.500  0.251  0.135

Output
As for the space group: No. 44.

=====

Arrangement C

Here is GaAsC after structural relaxation from Alexandria via LeMat-Bulk. Energies are from PBE.

Cell lengths 6.133, 3.460, 9.899 Å; angles 90.00, 94.41, 90.00 degrees
Fractional coordinates of all 12 atoms:
Ga  0.798  0.500  0.993
Ga  0.202  0.500  0.007
Ga  0.798  0.000  0.493
Ga  0.202  0.000  0.507
C  0.382  0.000  0.973
C  0.382  0.500  0.473
C  0.618  0.000  0.027
C  0.618  0.500  0.527
As  0.639  0.500  0.731
As  0.361  0.500  0.269
As  0.639  0.000  0.231
As  0.361  0.000  0.769

Output
As for the space group: No. 12.

=====

Decreasing stability: arrangement A, arrangement B, arrangement C

=====

Arrangement A

Here is Ga2As2C after structural relaxation from Alexandria via LeMat-Bulk. Energies are from PBE.

Cell lengths 5.726, 5.726, 5.554 Å; angles 90.00, 90.00, 90.00 degrees
Fractional coordinates of all 10 atoms:
Ga  0.313  0.813  0.500
Ga  0.687  0.187  0.500
Ga  0.187  0.313  0.500
Ga  0.813  0.687  0.500
As  0.169  0.331  0.000
As  0.831  0.669  0.000
As  0.669  0.169  0.000
As  0.331  0.831  0.000
C  0.500  0.500  0.000
C  0.000  0.000  0.000

Output
As for the space group: No. 127.

=====

Arrangement B

Here is Ga2As2C after structural relaxation from Alexandria via LeMat-Bulk. Energies are from PBE.

Cell lengths 3.516, 3.516, 7.794 Å; angles 76.96, 76.96, 90.00 degrees
Fractional coordinates of all 5 atoms:
As  0.581  0.581  0.839
As  0.419  0.419  0.161
C  0.000  0.000  0.000
Ga  0.250  0.750  0.500
Ga  0.750  0.250  0.500

Output
As for the space group: No. 139.

=====

Decreasing stability: arrangement A, arrangement B

=====

Arrangement A

Here is GaAsC3 after structural relaxation from Alexandria via LeMat-Bulk. Energies are from PBE.

Cell lengths 3.950, 3.950, 3.950 Å; angles 90.00, 90.00, 90.00 degrees
Fractional coordinates of all 5 atoms:
C  0.500  0.000  0.000
C  0.000  0.000  0.500
C  0.000  0.500  0.000
Ga  0.500  0.500  0.500
As  0.000  0.000  0.000

Output
As for the space group: No. 221.

=====

Arrangement B

Here is GaAsC3 after structural relaxation from Alexandria via LeMat-Bulk. Energies are from PBE.

Cell lengths 4.025, 4.025, 4.025 Å; angles 90.00, 90.00, 90.00 degrees
Fractional coordinates of all 5 atoms:
C  0.000  0.000  0.500
C  0.500  0.000  0.000
C  0.000  0.500  0.000
As  0.500  0.500  0.500
Ga  0.000  0.000  0.000

Output
As for the space group: No. 221.

=====

Decreasing stability: arrangement A, arrangement B

=====

Arrangement A

Here is GaAs2C after structural relaxation from Alexandria via LeMat-Bulk. Energies are from PBE.

Cell lengths 5.289, 5.289, 6.497 Å; angles 65.98, 65.98, 90.00 degrees
Fractional coordinates of all 8 atoms:
Ga  0.750  0.250  0.500
Ga  0.000  0.000  0.000
As  0.875  0.813  0.750
As  0.375  0.437  0.750
As  0.187  0.625  0.250
As  0.563  0.125  0.250
C  0.250  0.750  0.500
C  0.500  0.500  0.000

Output
As for the space group: No. 122.

=====

Arrangement B

Here is GaAs2C after structural relaxation from Alexandria via LeMat-Bulk. Energies are from PBE.

Cell lengths 4.455, 4.455, 4.455 Å; angles 60.00, 60.00, 60.00 degrees
Fractional coordinates of all 4 atoms:
As  0.750  0.750  0.750
As  0.250  0.250  0.250
Ga  0.500  0.500  0.500
C  0.000  0.000  0.000

Output
As for the space group: No. 225.

=====

Decreasing stability: arrangement A, arrangement B

=====

Arrangement A

Here is Ga3AsC after structural relaxation from Alexandria via LeMat-Bulk. Energies are from PBE.

Cell lengths 4.339, 4.339, 4.339 Å; angles 90.00, 90.00, 90.00 degrees
Fractional coordinates of all 5 atoms:
C  0.000  0.000  0.000
Ga  0.500  0.000  0.000
Ga  0.000  0.000  0.500
Ga  0.000  0.500  0.000
As  0.500  0.500  0.500

Output
As for the space group: No. 221.

=====

Arrangement B

Here is Ga3AsC after structural relaxation from Alexandria via LeMat-Bulk. Energies are from PBE.

Cell lengths 5.039, 5.039, 5.039 Å; angles 90.00, 90.00, 90.00 degrees
Each line ends with the local moment (μB).
Fractional coordinates of all 5 atoms:
Ga  0.000  0.500  0.000  -0.01
Ga  0.500  0.000  0.000  -0.02
Ga  0.000  0.000  0.500  0.01
As  0.000  0.000  0.000  0.02
C  0.500  0.500  0.500  0.83

Output
As for the space group: No. 221.

=====

Decreasing stability: arrangement A, arrangement B

=====

Arrangement A

Here is GaAsCSe2 after structural relaxation from Alexandria via LeMat-Bulk. Energies are from PBE.

Cell lengths 4.521, 4.521, 4.393 Å; angles 90.00, 90.00, 90.00 degrees
Fractional coordinates of all 5 atoms:
Se  0.000  0.500  0.000
Se  0.500  0.000  0.000
C  0.000  0.000  0.000
Ga  0.500  0.500  0.500
As  0.000  0.000  0.500

Output
As for the space group: No. 123.

=====

Arrangement B

Here is GaAsCSe2 after structural relaxation from Alexandria via LeMat-Bulk. Energies are from PBE.

Cell lengths 4.939, 4.939, 4.936 Å; angles 90.00, 90.00, 90.00 degrees
Each line ends with the local moment (μB).
Fractional coordinates of all 5 atoms:
Se  0.500  0.000  0.000  -0.09
Se  0.000  0.500  0.000  -0.09
C  0.500  0.500  0.500  0.72
Ga  0.000  0.000  0.000  0.01
As  0.000  0.000  0.500  -0.20

Output
As for the space group: No. 123.

=====

Decreasing stability: arrangement A, arrangement B

=====

Arrangement A

Here is GaAs2CSe after structural relaxation from Alexandria via LeMat-Bulk. Energies are from PBE.

Cell lengths 4.907, 4.907, 4.915 Å; angles 90.00, 90.00, 90.00 degrees
Each line ends with the local moment (μB).
Fractional coordinates of all 5 atoms:
Ga  0.000  0.000  0.000  0.01
As  0.500  0.000  0.000  -0.12
As  0.000  0.500  0.000  -0.12
C  0.500  0.500  0.500  0.67
Se  0.000  0.000  0.500  -0.01

Output
As for the space group: No. 123.

=====

Arrangement B

Here is GaAs2CSe after structural relaxation from Alexandria via LeMat-Bulk. Energies are from PBE.

Cell lengths 4.432, 4.432, 4.457 Å; angles 90.00, 90.00, 90.00 degrees
Fractional coordinates of all 5 atoms:
As  0.500  0.000  0.000
As  0.000  0.500  0.000
Se  0.000  0.000  0.500
C  0.000  0.000  0.000
Ga  0.500  0.500  0.500

Output
As for the space group: No. 123.

=====

Decreasing stability: arrangement B, arrangement A

=====

Arrangement A

Here is Ge3AsC after structural relaxation from Alexandria via LeMat-Bulk. Energies are from PBE.

Cell lengths 4.414, 4.414, 4.414 Å; angles 90.00, 90.00, 90.00 degrees
Fractional coordinates of all 5 atoms:
As  0.500  0.500  0.500
Ge  0.000  0.000  0.500
Ge  0.000  0.500  0.000
Ge  0.500  0.000  0.000
C  0.000  0.000  0.000

Output
As for the space group: No. 221.

=====

Arrangement B

Here is Ge3AsC after structural relaxation from Alexandria via LeMat-Bulk. Energies are from PBE.

Cell lengths 5.006, 5.006, 5.006 Å; angles 90.00, 90.00, 90.00 degrees
Each line ends with the local moment (μB).
Fractional coordinates of all 5 atoms:
Ge  0.500  0.000  0.000  -0.10
Ge  0.000  0.500  0.000  -0.04
Ge  0.000  0.000  0.500  -0.04
As  0.000  0.000  0.000  0.01
C  0.500  0.500  0.500  0.58

Output
As for the space group: No. 221.

=====

Decreasing stability: arrangement A, arrangement B

=====

Arrangement A

Here is GeAs2CSe after structural relaxation from Alexandria via LeMat-Bulk. Energies are from PBE.

Cell lengths 4.961, 4.961, 4.927 Å; angles 90.00, 90.00, 90.00 degrees
Each line ends with the local moment (μB).
Fractional coordinates of all 5 atoms:
As  0.000  0.500  0.000  -0.17
As  0.500  0.000  0.000  -0.17
Se  0.000  0.000  0.500  -0.01
Ge  0.000  0.000  0.000  0.01
C  0.500  0.500  0.500  0.72

Output
As for the space group: No. 123.

=====

Arrangement B

Here is GeAs2CSe after structural relaxation from Alexandria via LeMat-Bulk. Energies are from PBE.

Cell lengths 4.388, 4.388, 4.531 Å; angles 90.00, 90.00, 90.00 degrees
Fractional coordinates of all 5 atoms:
Ge  0.500  0.500  0.500
Se  0.000  0.000  0.500
C  0.000  0.000  0.000
As  0.500  0.000  0.000
As  0.000  0.500  0.000

Output
As for the space group: No. 123.

=====

Decreasing stability: arrangement B, arrangement A

=====

Arrangement A

Here is GeAsCSe2 after structural relaxation from Alexandria via LeMat-Bulk. Energies are from PBE.

Cell lengths 4.480, 4.480, 4.395 Å; angles 90.00, 90.00, 90.00 degrees
Fractional coordinates of all 5 atoms:
C  0.000  0.000  0.000
As  0.000  0.000  0.500
Se  0.500  0.000  0.000
Se  0.000  0.500  0.000
Ge  0.500  0.500  0.500

Output
As for the space group: No. 123.

=====

Arrangement B

Here is GeAsCSe2 after structural relaxation from Alexandria via LeMat-Bulk. Energies are from PBE.

Cell lengths 4.965, 4.965, 4.990 Å; angles 90.00, 90.00, 90.00 degrees
Each line ends with the local moment (μB).
Fractional coordinates of all 5 atoms:
Ge  0.000  0.000  0.000  0.01
C  0.500  0.500  0.500  0.75
Se  0.500  0.000  0.000  -0.09
Se  0.000  0.500  0.000  -0.09
As  0.000  0.000  0.500  -0.26

Output
As for the space group: No. 123.

=====

Decreasing stability: arrangement A, arrangement B

=====

Arrangement A

Here is SiAsHC after structural relaxation from Alexandria via LeMat-Bulk. Energies are from PBE.

Cell lengths 3.379, 3.261, 9.065 Å; angles 90.00, 105.30, 90.00 degrees
Fractional coordinates of all 8 atoms:
C  0.490  0.500  0.680
C  0.490  0.000  0.180
Si  0.907  0.500  0.570
Si  0.907  0.000  0.070
As  0.439  0.500  0.312
As  0.439  0.000  0.812
H  0.893  0.000  0.537
H  0.893  0.500  0.037

Output
As for the space group: No. 8.

=====

Arrangement B

Here is SiAsHC after structural relaxation from Alexandria via LeMat-Bulk. Energies are from PBE.

Cell lengths 3.062, 3.893, 4.934 Å; angles 101.49, 107.73, 90.46 degrees
Fractional coordinates of all 4 atoms:
As  0.795  0.172  0.663
Si  0.957  0.782  0.999
C  0.564  0.792  0.217
H  0.612  0.562  0.320

Output
As for the space group: No. 1.

=====

Arrangement C

Here is SiAsHC after structural relaxation from Alexandria via LeMat-Bulk. Energies are from PBE.

Cell lengths 3.444, 3.747, 5.303 Å; angles 97.92, 102.41, 100.60 degrees
Fractional coordinates of all 4 atoms:
H  0.530  0.533  0.290
Si  0.982  0.808  0.013
As  0.124  0.292  0.776
C  0.491  0.674  0.120

Output
As for the space group: No. 1.

=====

Decreasing stability: arrangement B, arrangement C, arrangement A